--- 1 ---
3
Lattice="-1.951 1.951 4.941 1.951 -1.951 4.941 1.951 1.951 -4.941" Properties=species:S:1:pos:R:3 comment="PBE PuThAl, optimized geometry" volume_a3_per_atom=25.07 spacegroup="No. 107" pbc="T T T"
Pu 0.000 0.000 0.000
Th 0.000 0.000 3.124
Al 0.000 0.000 6.452

=====

--- 2 ---
3
Lattice="5.211 0.000 0.000 -2.605 4.513 0.000 0.000 0.000 3.127" Properties=species:S:1:pos:R:3 comment="PBE PuThAl, optimized geometry" volume_a3_per_atom=24.51 spacegroup="No. 187" pbc="T T T"
Pu 0.000 0.000 0.000
Th 2.605 1.504 0.000
Al 0.000 3.009 1.563

=====

Most stable one: 1, least stable one: 2.

=====

--- 1 ---
4
Lattice="2.887 0.000 0.000 0.000 2.887 0.000 0.000 0.000 8.693" Properties=species:S:1:pos:R:3 comment="PBE PuTi2Al, optimized geometry" volume_a3_per_atom=18.11 spacegroup="No. 123" pbc="T T T"
Pu 0.000 0.000 0.000
Ti 1.443 1.443 2.399
Ti 1.443 1.443 6.294
Al 0.000 0.000 4.346

=====

--- 2 ---
4
Lattice="4.793 0.000 0.000 0.000 4.793 0.000 0.000 0.000 3.087" Properties=species:S:1:pos:R:3 comment="PBE PuTi2Al, optimized geometry" volume_a3_per_atom=17.73 spacegroup="No. 123" pbc="T T T"
Pu 0.000 0.000 0.000
Ti 0.000 2.397 1.543
Ti 2.397 0.000 1.543
Al 2.397 2.397 0.000

=====

Most stable one: 2, least stable one: 1.

=====

--- 1 ---
4
Lattice="4.189 0.000 0.000 0.000 4.189 0.000 0.000 0.000 4.616" Properties=species:S:1:pos:R:3 comment="PBE Pu2TiAl, optimized geometry" volume_a3_per_atom=20.25 spacegroup="No. 123" pbc="T T T"
Pu 0.000 2.094 0.000
Pu 2.094 0.000 0.000
Ti 0.000 0.000 2.308
Al 2.094 2.094 2.308

=====

--- 2 ---
4
Lattice="3.823 0.000 0.000 0.000 3.823 0.000 0.000 0.000 5.945" Properties=species:S:1:pos:R:3 comment="PBE Pu2TiAl, optimized geometry" volume_a3_per_atom=21.72 spacegroup="No. 123" pbc="T T T"
Pu 0.000 0.000 1.455
Pu 0.000 0.000 4.490
Ti 1.912 1.912 2.973
Al 1.912 1.912 0.000

=====

--- 3 ---
4
Lattice="1.499 0.865 11.088 -1.499 0.865 11.088 0.000 -1.731 11.088" Properties=species:S:1:pos:R:3 comment="PBE Pu2TiAl, optimized geometry" volume_a3_per_atom=21.57 spacegroup="No. 166" pbc="T T T"
Pu 0.000 0.000 3.018
Pu 0.000 0.000 30.245
Ti 0.000 0.000 16.631
Al 0.000 0.000 0.000

=====

Most stable one: 1, least stable one: 3.

=====

--- 1 ---
4
Lattice="1.655 0.955 10.798 -1.655 0.955 10.798 0.000 -1.911 10.798" Properties=species:S:1:pos:R:3 comment="PBE TmPu2Al, optimized geometry" volume_a3_per_atom=25.61 spacegroup="No. 166" pbc="T T T"
Tm 0.000 0.000 0.000
Pu 0.000 0.000 7.869
Pu 0.000 0.000 24.524
Al 0.000 0.000 16.196

=====

--- 2 ---
4
Lattice="0.000 3.684 3.684 3.684 0.000 3.684 3.684 3.684 0.000" Properties=species:S:1:pos:R:3 comment="PBE TmPu2Al, optimized geometry" volume_a3_per_atom=25.00 spacegroup="No. 225" pbc="T T T"
Tm 0.000 0.000 0.000
Pu 1.842 1.842 1.842
Pu 5.526 5.526 5.526
Al 3.684 3.684 3.684

=====

--- 3 ---
4
Lattice="4.429 0.000 0.000 0.000 4.429 0.000 0.000 0.000 4.952" Properties=species:S:1:pos:R:3 comment="PBE TmPu2Al, optimized geometry" volume_a3_per_atom=24.28 spacegroup="No. 123" pbc="T T T"
Tm 0.000 0.000 0.000
Pu 0.000 2.214 2.476
Pu 2.214 0.000 2.476
Al 2.214 2.214 0.000

=====

Most stable one: 3, least stable one: 1.

=====

--- 1 ---
12
Lattice="5.577 0.000 0.000 -2.788 4.830 0.000 0.000 0.000 8.758" Properties=species:S:1:pos:R:3 comment="PBE TmPu3Al8, optimized geometry" volume_a3_per_atom=19.66 spacegroup="No. 156" pbc="T T T"
Tm 0.000 0.000 0.000
Pu 0.000 0.000 3.177
Pu 2.788 1.610 4.547
Pu 2.788 1.610 7.296
Al 0.000 1.554 5.961
Al -1.442 4.053 5.961
Al 0.000 3.220 3.741
Al 0.000 3.220 8.106
Al 2.788 0.057 1.546
Al 1.444 2.386 1.546
Al 1.442 4.053 5.961
Al 4.133 2.386 1.546

=====

--- 2 ---
12
Lattice="2.761 1.594 8.986 -2.761 1.594 8.986 0.000 -3.188 8.986" Properties=species:S:1:pos:R:3 comment="PBE TmPu3Al8, optimized geometry" volume_a3_per_atom=19.78 spacegroup="No. 160" pbc="T T T"
Tm 0.000 0.000 0.000
Pu 0.000 0.000 3.393
Pu 0.000 0.000 13.482
Pu 0.000 0.000 16.695
Al -1.385 -0.800 10.621
Al 0.000 -1.594 6.166
Al -1.380 0.797 6.166
Al 0.000 0.000 8.381
Al 1.385 -0.800 10.621
Al 0.000 1.599 10.621
Al 1.380 0.797 6.166
Al 0.000 0.000 21.866

=====

Most stable one: 2, least stable one: 1.

=====

--- 1 ---
3
Lattice="5.088 0.000 0.000 -2.544 4.407 0.000 0.000 0.000 3.217" Properties=species:S:1:pos:R:3 comment="PBE TmPuAl, optimized geometry" volume_a3_per_atom=24.04 spacegroup="No. 156" pbc="T T T"
Tm 0.000 0.000 0.000
Pu 2.544 1.469 1.918
Al 0.000 2.938 0.896

=====

--- 2 ---
3
Lattice="-1.631 1.631 6.868 1.631 -1.631 6.868 1.631 1.631 -6.868" Properties=species:S:1:pos:R:3 comment="PBE TmPuAl, optimized geometry" volume_a3_per_atom=24.36 spacegroup="No. 107" pbc="T T T"
Tm 0.000 0.000 0.000
Pu 0.000 0.000 9.555
Al 0.000 0.000 4.795

=====

Most stable one: 2, least stable one: 1.

=====

--- 1 ---
3
Lattice="-1.724 1.724 4.885 1.724 -1.724 4.885 1.724 1.724 -4.885" Properties=species:S:1:pos:R:3 comment="PBE PuUAl, optimized geometry" volume_a3_per_atom=19.36 spacegroup="No. 107" pbc="T T T"
Pu 0.000 0.000 0.000
U 0.000 0.000 5.911
Al 0.000 0.000 2.962

=====

--- 2 ---
3
Lattice="4.843 0.000 0.000 -2.421 4.194 0.000 0.000 0.000 2.825" Properties=species:S:1:pos:R:3 comment="PBE PuUAl, optimized geometry" volume_a3_per_atom=19.13 spacegroup="No. 187" pbc="T T T"
Pu 0.000 0.000 0.000
U 0.000 2.796 0.000
Al 2.421 1.398 1.412

=====

Most stable one: 2, least stable one: 1.

=====

--- 1 ---
4
Lattice="3.679 0.000 0.000 0.000 3.679 0.000 0.000 0.000 6.326" Properties=species:S:1:pos:R:3 comment="PBE Pu2UAl, optimized geometry" volume_a3_per_atom=21.41 spacegroup="No. 123" pbc="T T T"
Pu 0.000 0.000 1.561
Pu 0.000 0.000 4.765
U 1.840 1.840 3.163
Al 1.840 1.840 0.000

=====

--- 2 ---
4
Lattice="4.421 0.000 0.000 0.000 4.421 0.000 0.000 0.000 4.367" Properties=species:S:1:pos:R:3 comment="PBE Pu2UAl, optimized geometry" volume_a3_per_atom=21.34 spacegroup="No. 123" pbc="T T T"
Pu 0.000 2.210 0.000
Pu 2.210 0.000 0.000
U 0.000 0.000 2.184
Al 2.210 2.210 2.184

=====

--- 3 ---
4
Lattice="1.805 1.042 9.008 -1.805 1.042 9.008 0.000 -2.085 9.008" Properties=species:S:1:pos:R:3 comment="PBE Pu2UAl, optimized geometry" volume_a3_per_atom=25.43 spacegroup="No. 166" pbc="T T T"
Pu 0.000 0.000 2.989
Pu 0.000 0.000 24.036
U 0.000 0.000 13.512
Al 0.000 0.000 0.000

=====

Most stable one: 2, least stable one: 3.